Material: Tb8Al2Ni
Method: DFT, GGA-PBE
State: relaxed

Cell: 5.012 6.619 9.495 Å, 102.03 105.30 90.00°
Positions (direct):
Tb: 0.408 0.542 0.815
Tb: 0.648 0.975 0.295
Tb: 0.790 0.697 0.580
Tb: 0.980 0.222 0.961
Tb: 0.210 0.303 0.420
Tb: 0.352 0.025 0.705
Tb: 0.592 0.458 0.185
Tb: 0.020 0.778 0.039
Al: 0.812 0.246 0.623
Al: 0.188 0.754 0.377
Ni: 0.500 0.000 0.000

***

Material: TbAl12Ni6
Method: DFT, GGA-PBE
State: relaxed

Cell: 6.906 6.906 6.906 Å, 104.75 104.75 104.75°
Positions (direct):
Tb: 0.000 0.000 0.000
Al: 0.882 0.118 0.500
Al: 0.844 0.586 0.586
Al: 0.586 0.586 0.844
Al: 0.414 0.156 0.414
Al: 0.414 0.414 0.156
Al: 0.156 0.414 0.414
Al: 0.118 0.500 0.882
Al: 0.500 0.882 0.118
Al: 0.118 0.882 0.500
Al: 0.882 0.500 0.118
Al: 0.500 0.118 0.882
Al: 0.586 0.844 0.586
Ni: 0.702 0.273 0.273
Ni: 0.273 0.273 0.702
Ni: 0.273 0.702 0.273
Ni: 0.727 0.727 0.298
Ni: 0.298 0.727 0.727
Ni: 0.727 0.298 0.727

***

Material: Tb6AlNi2
Method: DFT, GGA-PBE
State: relaxed

Cell: 8.385 8.385 8.385 Å, 105.83 109.73 112.93°
Positions (direct):
Tb: 0.531 0.713 0.818
Tb: 0.469 0.287 0.182
Tb: 0.105 0.287 0.818
Tb: 0.895 0.713 0.182
Tb: 0.805 0.764 0.569
Tb: 0.195 0.236 0.431
Tb: 0.195 0.764 0.959
Tb: 0.805 0.236 0.041
Tb: 0.692 0.367 0.675
Tb: 0.308 0.633 0.325
Tb: 0.308 0.983 0.675
Tb: 0.692 0.017 0.325
Al: 0.000 0.500 0.500
Al: 0.000 0.000 0.000
Ni: 0.500 0.379 0.879
Ni: 0.500 0.621 0.121
Ni: 0.657 0.000 0.657
Ni: 0.343 0.000 0.343

***

Material: Tb2TiAlNi6
Method: DFT, GGA-PBE
State: relaxed

Cell: 8.028 5.223 8.030 Å, 71.00 37.96 89.97°
Positions (direct):
Tb: 0.288 0.712 0.576
Tb: 0.712 0.288 0.424
Ti: 0.500 0.500 0.000
Al: 0.000 0.000 0.000
Ni: 0.248 0.753 0.004
Ni: 0.752 0.757 0.996
Ni: 0.243 0.247 0.506
Ni: 0.752 0.247 0.996
Ni: 0.248 0.243 0.004
Ni: 0.757 0.753 0.494

***

Material: Tb2TiAl2Ni5
Method: DFT, GGA-PBE
State: relaxed

Cell: 3.214 9.877 9.877 Å, 90.00 90.00 90.00°
Positions (direct):
Tb: 0.000 0.674 0.174
Tb: 0.000 0.326 0.826
Tb: 0.000 0.174 0.326
Tb: 0.000 0.826 0.674
Ti: 0.000 0.000 0.000
Ti: 0.000 0.500 0.500
Al: 0.000 0.125 0.625
Al: 0.000 0.875 0.375
Al: 0.000 0.625 0.875
Al: 0.000 0.375 0.125
Ni: 0.500 0.196 0.051
Ni: 0.500 0.804 0.949
Ni: 0.500 0.051 0.804
Ni: 0.500 0.696 0.449
Ni: 0.500 0.949 0.196
Ni: 0.500 0.304 0.551
Ni: 0.500 0.551 0.696
Ni: 0.500 0.449 0.304
Ni: 0.500 0.500 0.000
Ni: 0.500 0.000 0.500

***

Material: TbYAlNi
Method: DFT, GGA-PBE
State: relaxed

Cell: 4.991 4.991 4.991 Å, 60.00 60.00 60.00°
Positions (direct):
Y: 0.750 0.750 0.750
Ni: 0.000 0.000 0.000
Tb: 0.250 0.250 0.250
Al: 0.500 0.500 0.500

***

Computed values of energy relative to the elements (unit: kcal/mol of atoms) for the preceding records, in sequence: -4.33, -10.25, -7.08, -3.02, -9.18, -7.22.
Computed values of DOS(E_F) (unit: states/eV/atom) for the preceding records, in sequence: 1.036, 0.371, 1.005, 0.510, 0.694, 0.867.